(1)
Entry from Alexandria via LeMat-Bulk: crystalline LaPmDyIn at its relaxed geometry (PBE-GGA).

The structure in POSCAR format:
```
LaPmDyIn
1.0
-1.7194 2.5320 4.6745
-5.4563 0.3172 1.1605
-2.1463 -3.0174 4.1842
In Pm La Dy
1 1 1 1
Direct
0.7500 0.7500 0.7500
0.2500 0.2500 0.2500
0.5000 0.5000 0.5000
0.0000 0.0000 0.0000
```

The calculation puts the total DFT energy (no corrections) at -4.387 eV per atom. The symmetry is F-43m, No. 216. The calculation puts the calculated volume at 30.84 Å³/atom. The formation energy comes out at -0.132 eV per atom. The total moment is 1.3 μB/f.u. As for the crystal system: cubic. As for the energy above the lowest structure with this stoichiometry: 0 meV per atom.


(2)
Entry from Alexandria via LeMat-Bulk: crystalline LaPmDyIn at its relaxed geometry (PBE-GGA).

The structure in POSCAR format:
```
LaPmDyIn
1.0
-0.0627 -3.4710 -4.3162
-2.8871 -3.6632 2.9878
-1.8689 5.1825 -0.5863
La Pm Dy In
1 1 1 1
Direct
0.7500 0.2500 0.5000
0.5000 0.5000 0.0000
0.0000 0.0000 0.0000
0.2500 0.7500 0.5000
```

The calculation puts the total DFT energy (no corrections) at -4.363 eV per atom. The symmetry is F-43m, No. 216. The calculation puts the calculated volume at 30.06 Å³/atom. The formation energy comes out at -0.108 eV per atom. The total moment is 0.0 μB/f.u. As for the crystal system: cubic. As for the energy above the lowest structure with this stoichiometry: 24 meV per atom.


(3)
Entry from Alexandria via LeMat-Bulk: crystalline LaPm2DyIn4 at its relaxed geometry (PBE-GGA).

The structure in POSCAR format:
```
LaPm2DyIn4
1.0
-5.4351 0.0123 0.3020
-2.9536 -2.2010 -4.0080
-2.5822 -8.6172 2.9384
La Pm Dy In
1 2 1 4
Direct
0.0000 0.0000 0.0000
0.7506 0.7506 0.7481
0.2494 0.2494 0.2519
0.5000 0.5000 0.5000
0.3772 0.3772 0.8685
0.8730 0.8730 0.3809
0.1270 0.1270 0.6191
0.6228 0.6228 0.1315
```

The calculation puts the total DFT energy (no corrections) at -4.233 eV per atom. The symmetry is R-3m, No. 166. The calculation puts the calculated volume at 28.63 Å³/atom. The formation energy comes out at -0.485 eV per atom. The total moment is 0.0 μB/f.u. As for the crystal system: trigonal.


(4)
Entry from Alexandria via LeMat-Bulk: crystalline La2PrDyIn2 at its relaxed geometry (PBE-GGA).

The structure in POSCAR format:
```
La2PrDyIn2
1.0
-4.3247 -2.2963 1.9301
1.1875 -5.5574 -3.9509
5.6231 -4.2018 7.6004
La Pr Dy In
4 2 2 4
Direct
0.5000 0.0786 0.0569
0.0000 0.3127 0.1781
0.5000 0.5786 0.9431
0.0000 0.8127 0.8219
0.0000 0.9568 0.4577
0.0000 0.4568 0.5423
0.5000 0.1804 0.6909
0.5000 0.6804 0.3091
0.0000 0.2951 0.8532
0.5000 0.2219 0.3793
0.0000 0.7951 0.1468
0.5000 0.7219 0.6207
```

The calculation puts the total DFT energy (no corrections) at -4.474 eV per atom. The symmetry is Pmc2_1, No. 26. The calculation puts the calculated volume at 31.41 Å³/atom. The formation energy comes out at -0.355 eV per atom. The total moment is 0.0 μB/f.u. As for the crystal system: orthorhombic.